(1)
Material: AcDy5Y6
Method: DFT, PBE-GGA
State: optimized geometry

Cell and atoms, written as POSCAR:
```
AcDy5Y6
1.0
-4.772 -2.526 -3.083
1.340 -6.110 5.051
-4.213 3.082 6.115
Y Ac Dy
6 1 5
direct
0.750 0.916 0.580
0.250 0.420 0.084
0.254 0.748 0.748
0.746 0.252 0.252
0.750 0.580 0.916
0.250 0.084 0.420
0.000 0.000 0.000
0.500 0.828 0.172
0.000 0.663 0.337
0.500 0.500 0.500
0.000 0.337 0.663
0.500 0.172 0.828
```

Summary:
- calculated formation energy (eV/f.u.) = 0.39
- DOS at the Fermi energy (states/eV per atom) = 1.489



(2)
Material: AcDy9Y2
Method: DFT, PBE-GGA
State: optimized geometry

Cell and atoms, written as POSCAR:
```
AcDy9Y2
1.0
-1.243 4.914 0.025
-4.783 -1.216 1.159
3.395 0.782 14.830
Ac Dy Y
1 9 2
direct
0.000 0.000 0.000
0.500 0.500 0.000
0.500 0.500 0.337
0.500 0.500 0.663
0.500 0.000 0.173
0.500 0.000 0.500
0.500 0.000 0.827
0.000 0.500 0.173
0.000 0.500 0.500
0.000 0.500 0.827
0.000 0.000 0.336
0.000 0.000 0.664
```

Summary:
- calculated formation energy (eV/f.u.) = 0.45
- DOS at the Fermi energy (states/eV per atom) = 1.487



(3)
Material: Ac3Dy2Y2
Method: DFT, PBE-GGA
State: optimized geometry

Cell and atoms, written as POSCAR:
```
Ac3Dy2Y2
1.0
5.559 0.000 0.738
0.000 3.722 0.000
1.133 0.000 12.776
Ac Dy Y
3 2 2
direct
0.847 0.000 0.306
0.000 0.000 0.000
0.153 0.000 0.694
0.715 0.500 0.571
0.285 0.500 0.429
0.573 0.500 0.855
0.427 0.500 0.145
```

Summary:
- calculated formation energy (eV/f.u.) = 0.50
- DOS at the Fermi energy (states/eV per atom) = 1.627



(4)
Material: AcDy4Y8
Method: DFT, PBE-GGA
State: optimized geometry

Cell and atoms, written as POSCAR:
```
AcDy4Y8
1.0
7.645 -1.159 1.342
0.918 7.678 1.342
-1.523 -1.159 7.611
Ac Dy Y
1 4 8
direct
0.500 0.500 0.500
0.500 0.000 0.500
0.000 0.500 0.500
0.500 0.500 0.000
0.000 0.000 0.000
0.237 0.762 0.237
0.763 0.763 0.238
0.763 0.238 0.763
0.238 0.763 0.763
0.763 0.763 0.763
0.237 0.237 0.237
0.762 0.237 0.237
0.237 0.237 0.762
```

Summary:
- calculated formation energy (eV/f.u.) = 6.85
- DOS at the Fermi energy (states/eV per atom) = 1.693



(5)
Material: Ac2DyY3
Method: DFT, PBE-GGA
State: optimized geometry

Cell and atoms, written as POSCAR:
```
Ac2DyY3
1.0
7.640 0.000 0.000
-3.820 7.872 -1.877
0.000 -0.004 7.513
Ac Dy Y
4 2 6
direct
0.318 0.636 0.408
0.317 0.636 0.908
0.683 0.364 0.092
0.682 0.364 0.592
0.711 0.000 0.250
0.289 0.000 0.750
0.708 0.000 0.750
0.292 0.000 0.250
0.886 0.772 0.943
0.114 0.228 0.557
0.886 0.772 0.443
0.114 0.228 0.057
```

Summary:
- calculated formation energy (eV/f.u.) = 0.85
- DOS at the Fermi energy (states/eV per atom) = 1.535



(6)
Material: AcDy3Y7
Method: DFT, PBE-GGA
State: optimized geometry

Cell and atoms, written as POSCAR:
```
AcDy3Y7
1.0
-5.909 0.057 0.869
4.117 0.750 7.399
2.916 7.890 -1.225
Ac Dy Y
1 3 7
direct
0.500 0.500 0.500
0.000 0.789 0.211
0.500 0.000 0.000
0.000 0.211 0.789
0.194 0.193 0.193
0.291 0.984 0.598
0.709 0.402 0.016
0.291 0.598 0.984
0.000 0.500 0.500
0.709 0.016 0.402
0.806 0.807 0.807
```

Summary:
- calculated formation energy (eV/f.u.) = 3.23
- DOS at the Fermi energy (states/eV per atom) = 1.603
- E above lowest polymorph (meV per atom) = 149.0



(7)
Material: Ac8DyY5
Method: DFT, PBE-GGA
State: optimized geometry

Cell and atoms, written as POSCAR:
```
Ac8DyY5
1.0
9.063 0.253 -2.140
-4.850 6.538 -3.866
0.927 -0.262 9.410
Ac Dy Y
8 1 5
direct
0.151 0.677 0.060
0.946 0.078 0.699
0.750 0.436 0.307
0.642 0.326 0.869
0.470 0.614 0.302
0.543 0.849 0.889
0.341 0.275 0.466
0.217 0.824 0.512
0.055 0.445 0.588
0.019 0.249 0.155
0.872 0.881 0.231
0.841 0.682 0.774
0.626 0.095 0.412
0.277 0.066 0.985
```

Summary:
- calculated formation energy (eV/f.u.) = 1.97
- DOS at the Fermi energy (states/eV per atom) = 1.577



(8)
Material: AcDy15Y4
Method: DFT, PBE-GGA
State: optimized geometry

Cell and atoms, written as POSCAR:
```
AcDy15Y4
1.0
-1.185 -4.224 -2.502
4.544 -1.919 1.087
-9.301 -9.984 21.259
Ac Dy Y
1 15 4
direct
0.000 0.000 0.000
0.500 0.500 0.000
0.500 0.500 0.204
0.500 0.500 0.401
0.500 0.500 0.599
0.500 0.500 0.796
0.500 0.000 0.105
0.500 0.000 0.302
0.500 0.000 0.500
0.500 0.000 0.698
0.500 0.000 0.895
0.000 0.500 0.105
0.000 0.500 0.302
0.000 0.500 0.500
0.000 0.500 0.698
0.000 0.500 0.895
0.000 0.000 0.203
0.000 0.000 0.401
0.000 0.000 0.599
0.000 0.000 0.797
```

Summary:
- calculated formation energy (eV/f.u.) = 0.60
- DOS at the Fermi energy (states/eV per atom) = 1.386



- Among the records above, which one has the lowest DOS at the Fermi energy?
  AcDy15Y4



What did the second record say?
Material: AcDy9Y2
Method: DFT, PBE-GGA
State: optimized geometry

Cell and atoms, written as POSCAR:
```
AcDy9Y2
1.0
-1.243 4.914 0.025
-4.783 -1.216 1.159
3.395 0.782 14.830
Ac Dy Y
1 9 2
direct
0.000 0.000 0.000
0.500 0.500 0.000
0.500 0.500 0.337
0.500 0.500 0.663
0.500 0.000 0.173
0.500 0.000 0.500
0.500 0.000 0.827
0.000 0.500 0.173
0.000 0.500 0.500
0.000 0.500 0.827
0.000 0.000 0.336
0.000 0.000 0.664
```

Summary:
- calculated formation energy (eV/f.u.) = 0.45
- DOS at the Fermi energy (states/eV per atom) = 1.487



- Which value of DOS at the Fermi energy does entry 8 give?
  1.386 states/eV per atom



- Among the records above, which one has the highest DOS at the Fermi energy?
  AcDy4Y8